Record 1
## Na4O2F (PBE)

Data for crystalline Na4O2F at its relaxed geometry.

a = 4.2419 Å, b = 4.2419 Å, c = 6.5775 Å
α = 71.19°, β = 71.19°, γ = 90.00°
Closest atoms and distances in Å follow each position.
Sites, in units of the cell vectors:
Na1 0.1897 0.1897 0.6207  1 O 2.21, 1 F 2.22
Na2 0.8103 0.8103 0.3793  1 O 2.21, 1 F 2.22
Na3 0.0000 0.5000 0.0000  2 F 2.12
Na4 0.5000 0.0000 0.0000  2 F 2.12
O1 0.3783 0.3783 0.2433  1 Na 2.21
O2 0.6217 0.6217 0.7567  1 Na 2.21
F1 0.0000 0.0000 0.0000  6 Na 2.12-2.22

symmetry	I4/mmm (139)
DFT total energy	-3.82	eV per atom

Record 2
## NaOF (PBE)

Data for crystalline NaOF at its relaxed geometry.

a = 4.4087 Å, b = 4.4087 Å, c = 6.3549 Å
α = 115.60°, β = 105.13°, γ = 90.06°
Closest atoms and distances in Å follow each position.
Sites, in units of the cell vectors:
Na1 0.2491 0.7491 0.5000  4 F 2.24
Na2 0.7509 0.2509 0.5000  4 F 2.24
O1 0.6025 0.4088 0.0112  1 O 1.23
O2 0.3975 0.5912 0.9888  1 O 1.23
F1 0.2241 0.2058 0.4299  4 Na 2.24
F2 0.7759 0.7942 0.5701  4 Na 2.24

symmetry	C2/m (12)
DFT total energy	-4.42	eV per atom

Record 3
## NaOF (PBE)

Data for crystalline NaOF at its relaxed geometry.

a = 4.1271 Å, b = 4.1653 Å, c = 6.2454 Å
α = 90.00°, β = 131.04°, γ = 90.00°
Closest atoms and distances in Å follow each position.
Sites, in units of the cell vectors:
Na1 0.8905 0.0000 0.7956  4 O 2.44-2.49, 4 F 2.46-2.48
Na2 0.8905 0.5000 0.2956  4 O 2.44-2.49, 4 F 2.46-2.48
O1 0.1969 0.0000 0.2960  1 F 1.51
O2 0.1969 0.5000 0.7960  1 F 1.51
F1 0.5624 0.0000 0.2951  1 O 1.51
F2 0.5624 0.5000 0.7951  1 O 1.51

symmetry	Cm (8)
DFT total energy	-3.71	eV per atom

| no. | formation energy (no corrections) (meV per atom) |
| --- | --- |
| 1 | -1386 |
| 2 | -1699 |
| 3 | -996 |